A plane-wave DFT calculation with PBE+U was carried out for a relaxed structure of Li2CrBr2O.

a = 6.222 Å, b = 6.374 Å, c = 6.786 Å
α = 118.01°, β = 90.00°, γ = 90.00°
Each line ends with the local moment (μB).
Fractional coordinates of all 12 atoms:
Cr1 0.939 0.012 0.000  3.80
Cr2 0.439 0.988 0.000  3.80
Li1 0.239 0.215 0.736  0.00
Li2 0.739 0.522 0.736  0.00
Li3 0.739 0.785 0.264  0.00
Li4 0.239 0.478 0.264  0.00
O1 0.197 0.196 0.000  0.00
O2 0.697 0.804 0.000  0.00
Br1 0.180 0.594 0.691  -0.01
Br2 0.680 0.406 0.309  -0.01
Br3 0.680 0.098 0.691  -0.01
Br4 0.180 0.902 0.309  -0.01

Output
Space group = Cmc2_1
DFT total energy = -28.40 eV/f.u.